1.
A relaxed structure of Ta2MnV2, computed with GGA-PBE.

Unit cell a=6.0024 b=6.0024 c=4.2812 alpha=90.00 beta=90.00 gamma=90.00
Closest atoms and distances in Å follow each position.
Positions (direct):
Ta 0.1711 0.3289 0.0000  6 V 2.63-2.88, 1 Ta 2.90
Ta 0.3289 0.8289 0.0000  6 V 2.63-2.88, 1 Ta 2.90
Ta 0.6711 0.1711 0.0000  6 V 2.63-2.88, 1 Ta 2.90
Ta 0.8289 0.6711 0.0000  6 V 2.63-2.88, 1 Ta 2.90
Mn 0.0000 0.0000 0.5000  4 V 2.29
Mn 0.5000 0.5000 0.5000  4 V 2.29
V 0.1479 0.6479 0.5000  2 Mn 2.29, 1 V 2.51
V 0.3521 0.1479 0.5000  2 Mn 2.29, 1 V 2.51
V 0.6479 0.8521 0.5000  2 Mn 2.29, 1 V 2.51
V 0.8521 0.3521 0.5000  2 Mn 2.29, 1 V 2.51

2.
A relaxed structure of Ta3Mn2V, computed with GGA-PBE.

Unit cell a=3.0819 b=3.0819 c=9.3864 alpha=90.00 beta=90.00 gamma=90.00
Closest atoms and distances in Å follow each position.
Positions (direct):
Ta 0.0000 0.0000 0.0000  8 Mn 2.66
Ta 0.0000 0.0000 0.3254  4 Mn 2.67, 4 V 2.73
Ta 0.0000 0.0000 0.6746  4 Mn 2.67, 4 V 2.73
Mn 0.5000 0.5000 0.1620  8 Ta 2.66-2.67
Mn 0.5000 0.5000 0.8380  8 Ta 2.66-2.67
V 0.5000 0.5000 0.5000  8 Ta 2.73

3.
A relaxed structure of TaMn2V, computed with GGA-PBE.

Unit cell a=4.2194 b=2.9802 c=8.3820 alpha=90.00 beta=90.00 gamma=90.00
Closest atoms and distances in Å follow each position.
Positions (direct):
Ta 0.2500 0.0000 0.1316  8 Mn 2.58-2.68
Ta 0.7500 0.0000 0.8684  8 Mn 2.58-2.68
Mn 0.2500 0.5000 0.3854  6 V 2.46-2.58, 2 Ta 2.60
Mn 0.2500 0.5000 0.8660  2 V 2.56, 6 Ta 2.58-2.68
Mn 0.7500 0.5000 0.1340  2 V 2.56, 6 Ta 2.58-2.68
Mn 0.7500 0.5000 0.6146  6 V 2.46-2.58, 2 Ta 2.60
V 0.2500 0.0000 0.6183  8 Mn 2.46-2.58
V 0.7500 0.0000 0.3817  8 Mn 2.46-2.58

4.
A relaxed structure of TaMn4V3, computed with GGA-PBE.

Unit cell a=2.9329 b=4.1446 c=8.2558 alpha=90.00 beta=90.00 gamma=90.00
Closest atoms and distances in Å follow each position.
Positions (direct):
Ta 0.0000 0.0000 0.0000  8 Mn 2.54-2.60
Mn 0.5000 0.0000 0.2603  6 V 2.46-2.54, 2 Ta 2.60
Mn 0.5000 0.0000 0.7397  6 V 2.46-2.54, 2 Ta 2.60
Mn 0.5000 0.5000 0.0000  4 Ta 2.54, 4 V 2.58
Mn 0.5000 0.5000 0.5000  8 V 2.48-2.54
V 0.0000 0.0000 0.5000  8 Mn 2.46-2.54
V 0.0000 0.5000 0.2573  8 Mn 2.48-2.58
V 0.0000 0.5000 0.7427  8 Mn 2.48-2.58

5.
A relaxed structure of Ta6Mn5V, computed with GGA-PBE.

Unit cell a=6.8878 b=6.8878 c=6.1516 alpha=90.00 beta=90.00 gamma=143.13
Closest atoms and distances in Å follow each position.
Positions (direct):
Ta 0.0000 0.0000 0.2476  6 Mn 2.66-2.67, 2 V 2.68
Ta 0.0000 0.0000 0.7524  6 Mn 2.66-2.67, 2 V 2.68
Ta 0.3320 0.6680 0.2490  7 Mn 2.64-2.68, 1 V 2.68
Ta 0.3320 0.6680 0.7510  7 Mn 2.64-2.68, 1 V 2.68
Ta 0.6680 0.3320 0.2490  7 Mn 2.64-2.68, 1 V 2.68
Ta 0.6680 0.3320 0.7510  7 Mn 2.64-2.68, 1 V 2.68
Mn 0.1666 0.8334 0.5000  8 Ta 2.66-2.67
Mn 0.1677 0.8323 0.0000  8 Ta 2.64-2.67
Mn 0.5000 0.5000 0.0000  8 Ta 2.66-2.68
Mn 0.8323 0.1677 0.0000  8 Ta 2.64-2.67
Mn 0.8334 0.1666 0.5000  8 Ta 2.66-2.67
V 0.5000 0.5000 0.5000  8 Ta 2.68

6.
A relaxed structure of TaMn2V, computed with GGA-PBE.

Unit cell a=7.8747 b=7.8747 c=7.8747 alpha=20.96 beta=20.96 gamma=20.96
Closest atoms and distances in Å follow each position.
Positions (direct):
Ta 0.0000 0.0000 0.0000  6 Mn 2.63, 6 Ta 2.87
Mn 0.2450 0.2450 0.2450  3 V 2.45, 3 Ta 2.63
Mn 0.7550 0.7550 0.7550  3 V 2.45, 3 Ta 2.63
V 0.5000 0.5000 0.5000  6 Mn 2.45

7.
A relaxed structure of TaMnV, computed with GGA-PBE.

Unit cell a=6.7117 b=6.7117 c=4.2624 alpha=90.00 beta=90.00 gamma=153.93
Closest atoms and distances in Å follow each position.
Positions (direct):
Ta 0.0827 0.9173 0.7500  6 Mn 2.61-2.68, 2 V 2.74
Ta 0.9173 0.0827 0.2500  6 Mn 2.61-2.68, 2 V 2.74
Mn 0.4136 0.5864 0.7500  2 V 2.54, 6 Ta 2.61-2.68
Mn 0.5864 0.4136 0.2500  2 V 2.54, 6 Ta 2.61-2.68
V 0.2424 0.7576 0.2500  2 Mn 2.54, 4 V 2.62, 2 Ta 2.74
V 0.7576 0.2424 0.7500  2 Mn 2.54, 4 V 2.62, 2 Ta 2.74

## Properties
Excess energy over the best structure of this formula in the dataset = 0.16 eV/f.u.

8.
A relaxed structure of TaMnV4, computed with GGA-PBE.

Unit cell a=4.9520 b=4.9520 c=4.9520 alpha=60.00 beta=60.00 gamma=60.00
Closest atoms and distances in Å follow each position.
Positions (direct):
Ta 0.0000 0.0000 0.0000  12 V 2.90, 4 Mn 3.03
Mn 0.2500 0.2500 0.2500  12 V 2.90, 4 Ta 3.03
V 0.1242 0.6253 0.6253  6 V 2.47-2.48
V 0.6253 0.1242 0.6253  6 V 2.47-2.48
V 0.6253 0.6253 0.1242  6 V 2.47-2.48
V 0.6253 0.6253 0.6253  6 V 2.47-2.48

9.
A relaxed structure of TaMn2V, computed with GGA-PBE.

Unit cell a=4.2047 b=4.2047 c=2.9868 alpha=90.00 beta=90.00 gamma=90.00
Closest atoms and distances in Å follow each position.
Positions (direct):
Ta 0.0000 0.0000 0.0000  8 Mn 2.58
Mn 0.0000 0.5000 0.5000  4 V 2.58, 4 Ta 2.58
Mn 0.5000 0.0000 0.5000  4 V 2.58, 4 Ta 2.58
V 0.5000 0.5000 0.0000  8 Mn 2.58

10.
A relaxed structure of Ta2MnV, computed with GGA-PBE.

Unit cell a=5.8111 b=5.8111 c=5.8111 alpha=152.45 beta=131.06 gamma=57.08
Closest atoms and distances in Å follow each position.
Positions (direct):
Ta 0.2424 0.2424 0.0000  1 Mn 2.47, 1 V 2.63, 2 Ta 2.77
Ta 0.7576 0.7576 0.0000  1 Mn 2.47, 1 V 2.63, 2 Ta 2.77
Mn 0.0000 0.0000 0.0000  2 Ta 2.47, 2 Mn 2.77
V 0.5000 0.5000 0.0000  2 Ta 2.63, 2 V 2.77, 4 Mn 2.78

11.
A relaxed structure of Ta2MnV, computed with GGA-PBE.

Unit cell a=4.3999 b=4.3999 c=3.1100 alpha=90.00 beta=90.00 gamma=90.00
Closest atoms and distances in Å follow each position.
Positions (direct):
Ta 0.0000 0.5000 0.0000  4 V 2.69, 4 Mn 2.69
Ta 0.5000 0.0000 0.0000  4 V 2.69, 4 Mn 2.69
Mn 0.0000 0.0000 0.5000  8 Ta 2.69
V 0.5000 0.5000 0.5000  8 Ta 2.69

12.
A relaxed structure of TaMnW2, computed with GGA-PBE.

Unit cell a=3.1458 b=3.1458 c=6.2507 alpha=90.00 beta=90.00 gamma=90.00
Closest atoms and distances in Å follow each position.
Positions (direct):
Ta 0.0000 0.0000 0.0000  8 W 2.78
Mn 0.0000 0.0000 0.5000  8 W 2.66
W 0.5000 0.5000 0.2656  4 Mn 2.66, 4 Ta 2.78, 1 W 2.93
W 0.5000 0.5000 0.7344  4 Mn 2.66, 4 Ta 2.78, 1 W 2.93

## Properties
Excess energy over the best structure of this formula in the dataset = 0.39 eV/f.u.

13.
A relaxed structure of Ta3Mn2W, computed with GGA-PBE.

Unit cell a=3.1256 b=3.1256 c=9.4334 alpha=90.00 beta=90.00 gamma=90.00
Closest atoms and distances in Å follow each position.
Positions (direct):
Ta 0.0000 0.0000 0.0000  8 Mn 2.68
Ta 0.0000 0.0000 0.3228  4 Mn 2.69, 4 W 2.77
Ta 0.0000 0.0000 0.6772  4 Mn 2.69, 4 W 2.77
Mn 0.5000 0.5000 0.1598  8 Ta 2.68-2.69
Mn 0.5000 0.5000 0.8402  8 Ta 2.68-2.69
W 0.5000 0.5000 0.5000  8 Ta 2.77

Number 1: N(E_F) 14.2 states/eV/cell, formation enthalpy at 0 K 198.1 meV per atom, energy -10.024 eV per atom. Number 2: N(E_F) 3.9 states/eV/cell, formation enthalpy at 0 K -170.6 meV per atom, energy -10.673 eV per atom. Number 3: N(E_F) 2.8 states/eV/cell, formation enthalpy at 0 K -222.2 meV per atom, energy -10.050 eV per atom. Number 4: N(E_F) 3.0 states/eV/cell, formation enthalpy at 0 K -234.0 meV per atom, energy -9.720 eV per atom. Number 5: N(E_F) 9.7 states/eV/cell, formation enthalpy at 0 K -195.0 meV per atom, energy -10.702 eV per atom. Number 6: N(E_F) 3.6 states/eV/cell, formation enthalpy at 0 K 210.1 meV per atom, energy -9.617 eV per atom. Number 7: N(E_F) 3.6 states/eV/cell, formation enthalpy at 0 K -177.7 meV per atom, energy -10.225 eV per atom. Number 8: N(E_F) 2.5 states/eV/cell, formation enthalpy at 0 K 71.9 meV per atom, energy -9.511 eV per atom. Number 9: N(E_F) 1.2 states/eV/cell, formation enthalpy at 0 K -209.5 meV per atom, energy -10.037 eV per atom. Number 10: N(E_F) 4.4 states/eV/cell, formation enthalpy at 0 K 740.8 meV per atom, energy -9.758 eV per atom. Number 11: N(E_F) 5.5 states/eV/cell, formation enthalpy at 0 K -102.8 meV per atom, energy -10.601 eV per atom. Number 12: N(E_F) 3.7 states/eV/cell, formation enthalpy at 0 K 71.9 meV per atom, energy -11.660 eV per atom. Number 13: N(E_F) 3.1 states/eV/cell, formation enthalpy at 0 K -157.2 meV per atom, energy -11.299 eV per atom.